Cs4RbAg GGA-PBE optimized geometry; energy above the lowest structure with this stoichiometry = 0.00 eV/f.u.; DFT formation energy = 13 meV/atom
1.0
12.1511 -5.1422 0.0000
12.1511 5.1422 0.0000
-2.6803 0.0000 8.2745
Cs Rb Ag
8 2 2
Direct
0.1361 0.6470 0.3865
0.1811 0.1811 0.2026
0.2459 0.7541 0.0000
0.3530 0.8639 0.6135
0.6470 0.1361 0.3865
0.7541 0.2459 0.0000
0.8189 0.8189 0.7974
0.8639 0.3530 0.6135
0.3053 0.3053 0.8147
0.6947 0.6947 0.1853
0.0073 0.0073 0.3419
0.9927 0.9927 0.6581